Material: Tb2NdAlN
Method: DFT, PBE-GGA
State: relaxed

The structure belongs to space group P4/mmm (No. 123); the cell edges are 4.8150, 4.8150 and 4.9891 Å and the angles 90.00°, 90.00° and 90.00°. The asymmetric unit holds Tb at (0.0000, 0.5000, 0.0000), Nd at (0.0000, 0.0000, 0.5000), Al at (0.5000, 0.5000, 0.5000) and N at (0.0000, 0.0000, 0.0000).

Its raw total energy is -6.062 eV/atom. For the uncorrected formation energy, the calculation gives -81.32 kJ/mol of atoms. Its theoretical density is 7.222 g/cm³.

=====

Material: Nd2AlWN5
Method: DFT, PBE-GGA
State: relaxed

The structure belongs to space group Cmc2_1 (No. 36); the cell edges are 3.2329, 13.6657 and 10.3755 Å and the angles 90.00°, 90.00° and 90.00°. The asymmetric unit holds Nd at (0.0000, 0.1103, 0.0000), Nd at (0.0000, 0.1299, 0.5832), Al at (0.0000, 0.4836, 0.7699), W at (0.0000, 0.2210, 0.3016), N at (0.0000, 0.0600, 0.3392), N at (0.0000, 0.2823, 0.9306), N at (0.0000, 0.2993, 0.6735), N at (0.0000, 0.3631, 0.2980) and N at (0.0000, 0.5000, 0.0896).

Its raw total energy is -8.519 eV/atom. For the uncorrected formation energy, the calculation gives -94.51 kJ/mol of atoms. Its theoretical density is 8.250 g/cm³.

=====

Material: NdY2AlN
Method: DFT, PBE-GGA
State: relaxed

The structure belongs to space group P4/mmm (No. 123); the cell edges are 4.7972, 4.7972 and 4.9905 Å and the angles 90.00°, 90.00° and 90.00°. The asymmetric unit holds Nd at (0.0000, 0.0000, 0.0000), Y at (0.0000, 0.5000, 0.5000), Al at (0.5000, 0.5000, 0.0000) and N at (0.0000, 0.0000, 0.5000).

Its raw total energy is -6.814 eV/atom. For the uncorrected formation energy, the calculation gives -83.14 kJ/mol of atoms. Its theoretical density is 5.249 g/cm³.

=====

Material: Nd2YAlN
Method: DFT, PBE-GGA
State: relaxed

The structure belongs to space group P4/mmm (No. 123); the cell edges are 5.0069, 5.0069 and 4.7815 Å and the angles 90.00°, 90.00° and 90.00°. The asymmetric unit holds Nd at (0.0000, 0.5000, 0.0000), Y at (0.0000, 0.0000, 0.5000), Al at (0.5000, 0.5000, 0.5000) and N at (0.0000, 0.0000, 0.0000).

Its raw total energy is -6.418 eV/atom. For the uncorrected formation energy, the calculation gives -77.58 kJ/mol of atoms. Its theoretical density is 5.796 g/cm³.

=====

Material: AlNi3N
Method: DFT, PBE-GGA
State: relaxed

The structure belongs to space group Pm-3m (No. 221); the cell edges are 4.2581, 4.2581 and 4.2581 Å and the angles 90.00°, 90.00° and 90.00°. The asymmetric unit holds Al at (0.0000, 0.0000, 0.0000), Ni at (0.0000, 0.0000, 0.5000) and N at (0.5000, 0.5000, 0.5000).

The energy above the most stable polymorph in this dataset comes out at 2061 meV per atom. Its raw total energy is -4.045 eV/atom. For the uncorrected formation energy, the calculation gives 177.31 kJ/mol of atoms. Its theoretical density is 4.669 g/cm³.

=====

Material: AlNi2N
Method: DFT, PBE-GGA
State: relaxed

The structure belongs to space group Fm-3m (No. 225); the cell edges are 5.5358, 5.5358 and 5.5358 Å and the angles 90.00°, 90.00° and 90.00°. The asymmetric unit holds Al at (0.0000, 0.0000, 0.0000), Ni at (0.2500, 0.2500, 0.2500) and N at (0.0000, 0.0000, 0.5000).

The energy above the most stable polymorph in this dataset comes out at 490 meV per atom. Its raw total energy is -5.275 eV/atom. For the uncorrected formation energy, the calculation gives 61.05 kJ/mol of atoms. Its theoretical density is 6.201 g/cm³.

=====

Material: AlNi2N
Method: DFT, PBE-GGA
State: relaxed

The structure belongs to space group I-42d (No. 122); the cell edges are 4.5799, 4.5799 and 10.3001 Å and the angles 90.00°, 90.00° and 90.00°. The asymmetric unit holds Al at (0.0000, 0.0000, 0.0000), Ni at (0.1224, 0.2500, 0.6250) and N at (0.0000, 0.0000, 0.5000).

The energy above the most stable polymorph in this dataset comes out at 0 meV per atom. Its raw total energy is -5.765 eV/atom. For the uncorrected formation energy, the calculation gives 13.72 kJ/mol of atoms. Its theoretical density is 4.869 g/cm³.

=====

Material: AlNiN3
Method: DFT, PBE-GGA
State: relaxed

The structure belongs to space group Pm-3m (No. 221); the cell edges are 3.6750, 3.6750 and 3.6750 Å and the angles 90.00°, 90.00° and 90.00°. The asymmetric unit holds Al at (0.0000, 0.0000, 0.0000), Ni at (0.5000, 0.5000, 0.5000) and N at (0.0000, 0.5000, 0.5000).

Its raw total energy is -5.475 eV/atom. For the uncorrected formation energy, the calculation gives 137.48 kJ/mol of atoms. Its theoretical density is 4.272 g/cm³.

=====

no.,V (A^3/atom)
1,23.13
2,12.73
3,22.97
4,23.97
5,15.44
6,10.60
7,13.50
8,9.93